Below is an optimized crystal structure of ScPHS2, with properties calculated at the PBE level.

a b c (Å): 4.606 4.606 3.289
angles (deg): 90.00 90.00 90.00
Element x y z (fractional)
Sc: 0.500 0.500 0.500
S: 0.500 0.000 0.000
S: 0.000 0.500 0.000
P: 0.000 0.000 0.500
H: 0.000 0.000 0.000

The symmetry is No. 123. For the total energy, the calculation gives -4.824 eV per atom. The value obtained for the magnetization is 0.00 μB per formula unit.

Below is an optimized crystal structure of ZnCr2Tc, with properties calculated at the PBE level.

a b c (Å): 4.898 4.898 4.205
angles (deg): 64.57 64.57 35.12
Element x y z (fractional)
Cr: 0.740 0.740 0.760
Tc: 0.485 0.485 0.515
Cr: 0.019 0.019 0.981
Zn: 0.256 0.256 0.244

The symmetry is No. 44. The value obtained for the energy relative to the elements is 0.13 eV per atom. The value obtained for the magnetization is 0.12 μB per formula unit.

Below is an optimized crystal structure of Hf2ZrZn, with properties calculated at the PBE level.

a b c (Å): 4.996 3.177 10.420
angles (deg): 90.01 91.20 90.00
Element x y z (fractional)
Zn: 0.224 0.500 0.590
Hf: 0.757 0.000 0.175
Hf: 0.746 0.500 0.910
Hf: 0.243 0.000 0.825
Zn: 0.776 0.500 0.410
Zr: 0.732 0.000 0.638
Zr: 0.268 0.000 0.362
Hf: 0.254 0.500 0.090

The symmetry is No. 10. The value obtained for the energy relative to the elements is -0.11 eV per atom. The value obtained for the magnetization is 0.00 μB per formula unit.

> Which value of magnetization does entry 1 give?

0.00 μB per formula unit

> magnetization of number 1 (ScPHS2)?

0.00 μB per formula unit

> Look up the magnetization of the third one.

0.00 μB per formula unit

> The highest magnetization belongs to which entry?

ZnCr2Tc